1.
An optimized crystal structure of Mn2CdPd9. Source: Alexandria, functional PBE.

* ΔH_f (0 K): -228 meV/atom
* V: 186.04 Å³ per cell
* M_tot: 8.51 μB/f.u.

Cell: 3.9535 3.9535 11.9024 Å, 90.00 90.00 90.00°
Last column: nearest neighbours and their distance in Å.
Space group P4/mmm (No. 123)
Inequivalent atoms, fractional coordinates:
Mn: 0.0000 0.0000 0.1645  12 Pd 2.75-2.80
Cd: 0.0000 0.0000 0.5000  12 Pd 2.80-2.87
Pd: 0.0000 0.5000 0.0000  8 Pd 2.76-2.80, 4 Mn 2.78
Pd: 0.0000 0.5000 0.3246  2 Mn 2.75, 8 Pd 2.77-2.87, 2 Cd 2.87
Pd: 0.5000 0.5000 0.1620  8 Pd 2.76-2.77, 4 Mn 2.80
Pd: 0.5000 0.5000 0.5000  4 Cd 2.80, 8 Pd 2.87


2.
An optimized crystal structure of CaCoH3. Source: Alexandria, functional PBE.

* V: 120.72 Å³ per cell
* M_tot: 0.84 μB/f.u.
* DFT total energy: -37.82 eV/cell

Cell: 2.8596 4.4579 9.4698 Å, 90.00 90.00 90.00°
Last column: nearest neighbours and their distance in Å.
Space group Amm2 (No. 38)
Inequivalent atoms, fractional coordinates:
Ca: 0.0000 0.0000 0.0000  4 H 2.07-2.21
Co: 0.5000 0.0000 0.6781  5 H 1.56-1.70
H: 0.0000 0.2060 0.6876  2 Co 1.70, 1 H 1.84
H: 0.5000 0.0000 0.8426  1 Co 1.56


3.
An optimized crystal structure of CsLiNiCl6. Source: Alexandria, functional PBE.

* E_form (uncorrected): -100.6 kJ/mol of atoms
* V: 269.49 Å³ per cell
* M_tot: 0.00 μB/f.u.

Cell: 6.3583 6.3583 7.6968 Å, 90.00 90.00 120.00°
Last column: nearest neighbours and their distance in Å.
Space group P312 (No. 149)
Inequivalent atoms, fractional coordinates:
Cs: 0.0000 0.0000 0.0000  6 Cl 3.47
Li: 0.3333 0.6667 0.5000  6 Cl 2.55
Ni: 0.6667 0.3333 0.5000  6 Cl 2.25
Cl: 0.3888 0.0358 0.6694  1 Ni 2.25


4.
An optimized crystal structure of Mo2PbCl. Source: Alexandria, functional PBE.

* E_form (uncorrected): 94.9 kJ/mol of atoms
* V: 307.58 Å³ per cell
* M_tot: 0.00 μB/f.u.
* polymorph energy (0 for the lowest one): 917.5 meV per atom

Cell: 7.2638 7.2638 5.8296 Å, 90.00 90.00 90.00°
Last column: nearest neighbours and their distance in Å.
Space group I-42d (No. 122)
Inequivalent atoms, fractional coordinates:
Mo: 0.1663 0.2500 0.1250  2 Cl 2.30
Pb: 0.0000 0.0000 0.5000  2 Cl 2.91, 8 Mo 3.09-3.12
Cl: 0.0000 0.0000 0.0000  4 Mo 2.30


5.
An optimized crystal structure of Pm3Th2Mg2. Source: Alexandria, functional PBE.

* ΔH_f (0 K): 97 meV/atom
* V: 441.27 Å³ per cell
* M_tot: 0.00 μB/f.u.

Cell: 5.3790 23.8453 3.4403 Å, 90.00 90.00 90.00°
Last column: nearest neighbours and their distance in Å.
Space group Cmmm (No. 65)
Inequivalent atoms, fractional coordinates:
Pm: 0.0000 0.0000 0.0000  4 Pm 3.37-3.44, 8 Mg 3.59
Pm: 0.0000 0.1415 0.0000  3 Pm 3.37-3.44, 4 Mg 3.63, 6 Th 3.68-3.76
Th: 0.0000 0.2817 0.5000  4 Th 3.08-3.44
Mg: 0.0000 0.4309 0.5000  3 Mg 3.30-3.44, 1 Th 3.56, 8 Pm 3.59-3.63


6.
An optimized crystal structure of KHfBe2Tl. Source: Alexandria, functional PBE.

* ΔH_f (0 K): 1059 meV/atom
* V: 147.55 Å³ per cell
* M_tot: 0.00 μB/f.u.

Cell: 5.0844 5.0844 5.7079 Å, 90.00 90.00 90.00°
Last column: nearest neighbours and their distance in Å.
Space group P4/mmm (No. 123)
Inequivalent atoms, fractional coordinates:
K: 0.0000 0.0000 0.0000  4 Tl 3.60, 8 Be 3.82
Hf: 0.5000 0.5000 0.5000  4 Be 2.54
Be: 0.0000 0.5000 0.5000  2 Hf 2.54
Tl: 0.5000 0.5000 0.0000  2 Hf 2.85


7.
An optimized crystal structure of La4NdTl5. Source: Alexandria, functional PBE.

* ΔH_f (0 K): -418 meV/atom
* V: 312.59 Å³ per cell
* M_tot: 0.00 μB/f.u.

Cell: 3.9458 3.9458 20.0777 Å, 90.00 90.00 90.00°
Last column: nearest neighbours and their distance in Å.
Space group P4/mmm (No. 123)
Inequivalent atoms, fractional coordinates:
La: 0.0000 0.0000 0.1009  8 Tl 3.45
La: 0.0000 0.0000 0.3030  8 Tl 3.45-3.46
Nd: 0.0000 0.0000 0.5000  8 Tl 3.38
Tl: 0.5000 0.5000 0.0000  8 La 3.45
Tl: 0.5000 0.5000 0.2019  8 La 3.45
Tl: 0.5000 0.5000 0.4048  4 Nd 3.38, 4 La 3.46


8.
An optimized crystal structure of CrRuRh4. Source: Alexandria, functional PBE.

* ΔH_f (0 K): 413 meV/atom
* V: 191.71 Å³ per cell
* M_tot: 0.45 μB/f.u.
* polymorph energy (0 for the lowest one): 450.8 meV per atom

Cell: 6.8639 3.8933 7.5421 Å, 90.00 107.98 90.00°
Last column: nearest neighbours and their distance in Å.
Space group C2/m (No. 12)
Inequivalent atoms, fractional coordinates:
Cr: 0.0000 0.0000 0.0000  8 Rh 2.43-2.47
Ru: 0.0000 0.5000 0.5000  8 Rh 2.53-2.69
Rh: 0.1166 0.0000 0.3438  1 Cr 2.47, 3 Ru 2.53, 2 Rh 2.75
Rh: 0.1254 0.5000 0.8746  3 Cr 2.43-2.45, 1 Ru 2.69


9.
An optimized crystal structure of Dy2Ho4Mg. Source: Alexandria, functional PBE.

* ΔH_f (0 K): 105 meV/atom
* V: 425.94 Å³ per cell
* M_tot: 0.00 μB/f.u.
* polymorph energy (0 for the lowest one): 0.0 meV per atom

Cell: 5.9622 6.5005 11.3836 Å, 90.00 105.11 90.00°
Last column: nearest neighbours and their distance in Å.
Space group P2_1/m (No. 11)
Inequivalent atoms, fractional coordinates:
Dy: 0.1030 0.2500 0.0044  4 Ho 3.24-3.56, 2 Mg 3.32-3.62, 2 Dy 3.47
Dy: 0.2221 0.2500 0.5766  9 Ho 3.31-3.60
Ho: 0.1432 0.5018 0.2873  5 Ho 3.23-3.47, 1 Mg 3.32, 3 Dy 3.39-3.60
Ho: 0.3510 0.7500 0.5599  1 Mg 3.13, 4 Dy 3.31-3.36, 4 Ho 3.43-3.47
Ho: 0.4752 0.7500 0.1259  3 Mg 3.20-3.41, 3 Dy 3.24-3.40, 2 Ho 3.43
Mg: 0.3463 0.7500 0.8346  6 Ho 3.13-3.41, 1 Dy 3.32


10.
An optimized crystal structure of PtPbN2F. Source: Alexandria, functional PBE.

* E_form (uncorrected): 142.7 kJ/mol of atoms
* V: 80.48 Å³ per cell
* M_tot: 0.33 μB/f.u.
* polymorph energy (0 for the lowest one): 1103.0 meV per atom

Cell: 4.3783 4.3783 4.1984 Å, 90.00 90.00 90.00°
Last column: nearest neighbours and their distance in Å.
Space group P4/mmm (No. 123)
Inequivalent atoms, fractional coordinates:
Pt: 0.0000 0.0000 0.0000  8 N 3.03, 4 F 3.10
Pb: 0.5000 0.5000 0.5000  2 F 2.10, 4 N 2.19
N: 0.0000 0.5000 0.5000  2 Pb 2.19
F: 0.5000 0.5000 0.0000  2 Pb 2.10


11.
An optimized crystal structure of Ca2AcAgO4. Source: Alexandria, functional PBE.

* E_form (uncorrected): -229.0 kJ/mol of atoms
* V: 508.79 Å³ per cell
* M_tot: 0.00 μB/f.u.

Cell: 3.5337 11.9505 12.0481 Å, 90.00 90.00 90.00°
Last column: nearest neighbours and their distance in Å.
Space group Cmcm (No. 63)
Inequivalent atoms, fractional coordinates:
Ca: 0.0000 0.1256 0.0443  3 O 2.28-2.38
Ac: 0.0000 0.3742 0.2500  6 O 2.47-2.66
Ag: 0.0000 0.3610 0.7500  4 O 2.28
O: 0.0000 0.0182 0.2500  2 Ag 2.28, 2 Ac 2.47
O: 0.0000 0.2248 0.6169  1 Ca 2.28, 1 Ag 2.28
O: 0.0000 0.5000 0.0000  4 Ca 2.38


12.
An optimized crystal structure of Cd2RuCl2. Source: Alexandria, functional PBE.

* E_form (uncorrected): 32.7 kJ/mol of atoms
* V: 224.23 Å³ per cell
* M_tot: 0.35 μB/f.u.
* polymorph energy (0 for the lowest one): 235.5 meV per atom

Cell: 5.5020 5.5020 7.4072 Å, 90.00 90.00 90.00°
Last column: nearest neighbours and their distance in Å.
Space group I4/mmm (No. 139)
Inequivalent atoms, fractional coordinates:
Cd: 0.0000 0.5000 0.2500  4 Cl 2.79
Ru: 0.0000 0.0000 0.0000  2 Cl 2.30
Cl: 0.0000 0.0000 0.3099  1 Ru 2.30